A geometry-optimized LaMgZn2 structure. Source: Alexandria, functional GGA-PBEsol.

Cell and atoms, written as extended XYZ:
```
4
Lattice="3.249 0.000 0.000 0.000 3.249 0.000 0.000 0.000 7.947" Properties=species:S:1:pos:R:3 pbc="T T T"
La 0.000 0.000 0.000
Mg 1.624 1.624 2.697
Zn 0.000 0.000 4.442
Zn 1.624 1.624 5.749
```

Crystal system: tetragonal
Energy of formation: -0.107 eV/atom
ρ: 5.821 Mg/m³
VASP energy: -10.654 eV per cell
Space group: No. 99
DOS(E_F): 2.94 states/eV/f.u.